Compound: Ac2InPt9
Source: Alexandria
Functional: PBE-GGA
Structure: relaxed

```
12
Lattice="-3.609 3.094 2.833 -3.470 -2.386 3.591 3.732 1.303 8.736" Properties=species:S:1:pos:R:3 pbc="T T T"
Ac -4.592 1.144 9.116
Ac 1.246 0.867 6.044
In 0.000 0.000 0.000
Pt -1.007 1.771 12.997
Pt -2.339 0.240 2.164
Pt -1.673 1.005 7.580
Pt -2.012 0.619 4.844
Pt -3.833 2.180 6.274
Pt -3.763 -0.585 6.656
Pt -1.334 1.392 10.316
Pt 0.416 2.596 8.504
Pt 0.487 -0.169 8.886
```

Its energy of formation is -719 kJ/mol of formula units. As for the total energy: -72.77 eV per cell.

---

Compound: Ac2In3Pt2
Source: Alexandria
Functional: PBE-GGA
Structure: relaxed

```
7
Lattice="4.310 0.000 0.000 -2.155 5.613 0.185 0.000 -1.049 7.700" Properties=species:S:1:pos:R:3 pbc="T T T"
Ac 2.155 1.023 2.727
Ac 0.000 3.541 5.158
In 0.000 3.415 1.147
In 0.000 0.000 0.000
In 2.155 1.149 6.738
Pt 0.000 0.363 4.990
Pt 2.155 4.201 2.895
```

Its energy of formation is -494 kJ/mol of formula units. As for the total energy: -33.63 eV per cell.